# CoRuN2F

A relaxed structure of CoRuN2F (PBE with a Hubbard U, Alexandria via LeMat-Bulk).

final energy: -5.56 eV per atom
magnetization: 2.60 Bohr magnetons per cell
N(E_F): 0.8322 states/eV per atom
distance to the lowest polymorph of the same formula: 38.5 kJ per mole of atoms

Lattice parameters (Å, degrees): 3.7386 3.7386 3.6329 90.00 90.00 90.00
Site moments in Bohr magnetons follow the coordinates.
Positions (direct):
Ru 0.5000 0.5000 0.5000  2.06
N 0.0000 0.5000 0.0000  -0.09
N 0.5000 0.0000 0.0000  -0.09
Co 0.0000 0.0000 0.0000  0.58
F 0.0000 0.0000 0.5000  0.06